LiCoCN2 (PBEsol, optimized geometry); raw formation energy = 2.36 eV/atom; space-group type = P4/mmm, No. 123; final energy = -4.92 eV/atom
1.0
-1.165 3.212 0.078
-2.113 -0.829 2.555
2.517 0.856 2.359
N Co C Li
2 1 1 1
Direct
0.000 0.500 0.000
0.500 0.000 0.000
0.500 0.500 0.500
0.000 0.000 0.500
0.000 0.000 0.000